1.
This record from the Alexandria database describes a relaxed LaHfZr2 crystal. The functional is GGA-PBEsol.

abc: 7.2246 7.2246 7.2246
angles: 90.00 90.00 90.00
With the nearest neighbours (Å) after each atom.
Space group Fm-3m (No. 225)
One atom of each set of equivalent atoms:
1 La 0.0000 0.0000 0.0000 [4 per cell]  8 Zr 3.13
2 Hf 0.0000 0.0000 0.5000 [4 per cell]  8 Zr 3.13
3 Zr 0.2500 0.2500 0.2500 [8 per cell]  4 Hf 3.13, 4 La 3.13

Computed properties:
Formation energy, meV per atom: 261
Total magnetic moment, μB per atom: 0.000
Crystal system: cubic

---

2.
This record from the Alexandria database describes a relaxed HfScF3 crystal. The functional is GGA-PBEsol.

abc: 4.2838 4.2838 4.2838
angles: 90.00 90.00 90.00
With the nearest neighbours (Å) after each atom.
Space group Pm-3m (No. 221)
One atom of each set of equivalent atoms:
1 Hf 0.0000 0.0000 0.0000 [1 per cell]  6 F 2.14
2 Sc 0.5000 0.5000 0.5000 [1 per cell]  12 F 3.03
3 F 0.0000 0.0000 0.5000 [3 per cell]  2 Hf 2.14

Computed properties:
Total energy, Ry/atom: -0.472
Total magnetic moment, μB per atom: 0.653
Crystal system: cubic

---

3.
This record from the Alexandria database describes a relaxed AsRu crystal. The functional is GGA-PBEsol.

abc: 6.1876 6.1876 6.1876
angles: 90.00 90.00 90.00
With the nearest neighbours (Å) after each atom.
Space group Fd-3m (No. 227, origin choice 2)
One atom of each set of equivalent atoms:
1 As 0.1250 0.1250 0.1250 [8 per cell]  4 As 2.68, 4 Ru 2.68
2 Ru 0.1250 0.1250 0.6250 [8 per cell]  4 Ru 2.68, 4 As 2.68

Computed properties:
Formation energy, meV per atom: 491
Total magnetic moment, μB per atom: 0.000
Crystal system: cubic

---

4.
This record from the Alexandria database describes a relaxed Sc2BeCrSn crystal. The functional is GGA-PBEsol.

abc: 5.3278 5.3278 4.3628
angles: 90.00 90.00 90.00
With the nearest neighbours (Å) after each atom.
Space group P4/mmm (No. 123)
One atom of each set of equivalent atoms:
1 Sc 0.0000 0.5000 0.0000 [2 per cell]  2 Sn 2.66
2 Be 0.0000 0.0000 0.5000 [1 per cell]  2 Sn 2.18
3 Cr 0.5000 0.5000 0.5000 [1 per cell]  8 Sc 3.44, 4 Be 3.77
4 Sn 0.0000 0.0000 0.0000 [1 per cell]  2 Be 2.18

Computed properties:
Formation energy, meV per atom: 912
Total magnetic moment, μB per atom: 0.895
Crystal system: tetragonal

---

5.
This record from the Alexandria database describes a relaxed TeMoPS2 crystal. The functional is GGA-PBEsol.

abc: 4.8645 4.8645 5.0630
angles: 90.00 90.00 90.00
With the nearest neighbours (Å) after each atom.
Space group P4/mmm (No. 123)
One atom of each set of equivalent atoms:
1 Te 0.0000 0.0000 0.0000 [1 per cell]  4 S 2.43, 2 P 2.53
2 Mo 0.5000 0.5000 0.5000 [1 per cell]  4 P 3.44, 8 S 3.51
3 P 0.0000 0.0000 0.5000 [1 per cell]  2 Te 2.53
4 S 0.0000 0.5000 0.0000 [2 per cell]  2 Te 2.43

Computed properties:
Total energy, Ry/atom: -0.335
Total magnetic moment, μB per atom: 0.649
Crystal system: tetragonal

---

6.
This record from the Alexandria database describes a relaxed ZrMn2In crystal. The functional is GGA-PBEsol.

abc: 2.8806 2.8806 7.4127
angles: 90.00 90.00 90.00
With the nearest neighbours (Å) after each atom.
Space group P4mm (No. 99)
One atom of each set of equivalent atoms:
1 Zr 0.0000 0.0000 0.0000 [1 per cell]  5 Mn 2.81-3.04, 4 Zr 2.88
2 Mn 0.0000 0.0000 0.5906 [1 per cell]  4 Mn 2.32
3 Mn 0.5000 0.5000 0.7391 [1 per cell]  4 Mn 2.32
4 In 0.5000 0.5000 0.3318 [1 per cell]  5 Mn 2.80-3.02, 4 In 2.88

Computed properties:
Formation energy, meV per atom: 8
Total magnetic moment, μB per atom: 0.001
Crystal system: tetragonal

---

7.
This record from the Alexandria database describes a relaxed TiGaSb3 crystal. The functional is GGA-PBEsol.

abc: 5.1585 5.1585 5.1585
angles: 90.00 90.00 90.00
With the nearest neighbours (Å) after each atom.
Space group Pm-3m (No. 221)
One atom of each set of equivalent atoms:
1 Ti 0.0000 0.0000 0.0000 [1 per cell]  12 Sb 3.65
2 Ga 0.5000 0.5000 0.5000 [1 per cell]  6 Sb 2.58
3 Sb 0.0000 0.5000 0.5000 [3 per cell]  2 Ga 2.58

Computed properties:
Total energy, Ry/atom: -0.312
Total magnetic moment, μB per atom: 0.423
Crystal system: cubic

---

8.
This record from the Alexandria database describes a relaxed Ga2Sn2Bi crystal. The functional is GGA-PBEsol.

abc: 8.4721 8.4721 3.3559
angles: 90.00 90.00 90.00
With the nearest neighbours (Å) after each atom.
Space group P4/mbm (No. 127)
One atom of each set of equivalent atoms:
1 Ga 0.1506 0.3494 0.0000 [4 per cell]  6 Sn 2.97-3.02
2 Sn 0.1452 0.6452 0.5000 [4 per cell]  6 Ga 2.97-3.02, 2 Bi 3.25
3 Bi 0.0000 0.0000 0.5000 [2 per cell]  4 Sn 3.25, 2 Bi 3.36, 8 Ga 3.63

Computed properties:
Formation energy, meV per atom: 47
Total magnetic moment, μB per atom: 0.000
Crystal system: tetragonal

---

9.
This record from the Alexandria database describes a relaxed TeWSe2Br crystal. The functional is GGA-PBEsol.

abc: 4.8971 4.8971 4.9352
angles: 90.00 90.00 90.00
With the nearest neighbours (Å) after each atom.
Space group P4/mmm (No. 123)
One atom of each set of equivalent atoms:
1 Te 0.0000 0.0000 0.0000 [1 per cell]  4 Br 3.46, 8 Se 3.48
2 W 0.5000 0.5000 0.5000 [1 per cell]  4 Se 2.45, 2 Br 2.47
3 Se 0.0000 0.5000 0.5000 [2 per cell]  2 W 2.45
4 Br 0.5000 0.5000 0.0000 [1 per cell]  2 W 2.47

Computed properties:
Total energy, Ry/atom: -0.370
Total magnetic moment, μB per atom: 0.000
Crystal system: tetragonal

---

10.
This record from the Alexandria database describes a relaxed Zr7Pb crystal. The functional is GGA-PBEsol.

abc: 8.9012 8.9012 8.9012
angles: 90.00 90.00 90.00
With the nearest neighbours (Å) after each atom.
Space group Fm-3m (No. 225)
One atom of each set of equivalent atoms:
1 Zr 0.0000 0.0000 0.0000 [4 per cell]  12 Zr 3.15
2 Zr 0.0000 0.2500 0.2500 [24 per cell]  10 Zr 3.15, 2 Pb 3.15
3 Pb 0.0000 0.0000 0.5000 [4 per cell]  12 Zr 3.15

Computed properties:
Formation energy, meV per atom: -77
Total magnetic moment, μB per atom: 0.000
Crystal system: cubic

---

11.
This record from the Alexandria database describes a relaxed Cr2CuMo crystal. The functional is GGA-PBEsol.

abc: 2.5707 2.5707 26.4360
angles: 90.00 90.00 120.00
With the nearest neighbours (Å) after each atom.
Space group R3m (No. 160, hexagonal axes)
One atom of each set of equivalent atoms:
1 Cr 0.0000 0.0000 0.0000 [3 per cell]  9 Cr 2.55-2.57, 3 Mo 2.73
2 Cr 0.0000 0.0000 0.2547 [3 per cell]  9 Cr 2.55-2.57, 3 Cu 2.59
3 Cu 0.0000 0.0000 0.5079 [3 per cell]  6 Cu 2.57, 3 Cr 2.59, 3 Mo 2.75
4 Mo 0.0000 0.0000 0.7535 [3 per cell]  6 Mo 2.57, 3 Cr 2.73, 3 Cu 2.75

Computed properties:
Formation energy, meV per atom: 449
Total magnetic moment, μB per atom: 0.006
Crystal system: trigonal

---

12.
This record from the Alexandria database describes a relaxed PaNi3 crystal. The functional is GGA-PBEsol.

abc: 5.2419 5.2419 4.6770
angles: 90.00 90.00 120.00
With the nearest neighbours (Å) after each atom.
Space group P6_3/mmc (No. 194)
One atom of each set of equivalent atoms:
1 Pa 0.3333 0.6667 0.2500 [2 per cell]  12 Ni 2.62-2.82
2 Ni 0.1593 0.3187 0.7500 [6 per cell]  8 Ni 2.51-2.75, 2 Pa 2.62

Computed properties:
Formation energy, meV per atom: -425
Total magnetic moment, μB per atom: 0.000
Crystal system: hexagonal

---

total magnetic moment of number 4 (Sc2BeCrSn)?
0.895 μB per atom

---

Repeat the second record exactly.
This record from the Alexandria database describes a relaxed HfScF3 crystal. The functional is GGA-PBEsol.

abc: 4.2838 4.2838 4.2838
angles: 90.00 90.00 90.00
With the nearest neighbours (Å) after each atom.
Space group Pm-3m (No. 221)
One atom of each set of equivalent atoms:
1 Hf 0.0000 0.0000 0.0000 [1 per cell]  6 F 2.14
2 Sc 0.5000 0.5000 0.5000 [1 per cell]  12 F 3.03
3 F 0.0000 0.0000 0.5000 [3 per cell]  2 Hf 2.14

Computed properties:
Total energy, Ry/atom: -0.472
Total magnetic moment, μB per atom: 0.653
Crystal system: cubic